PBE-GGA Li3GaBr6, optimized geometry; energy relative to the lowest polymorph listed for this composition = 55.4 meV per atom; formation energy from raw total energies = -26.5 kcal/mol of atoms; M_tot = 0.00 μB per cell
1.0
-4.492 4.546 -2.008
-0.421 -3.275 -6.473
-7.305 -6.407 3.717
Br Li Ga
12 6 2
Cartesian
-9.991 -3.555 0.931 Br
-1.514 -0.650 -1.893 Br
-6.243 -4.504 2.185 Br
-4.834 -3.781 -4.171 Br
-4.146 -3.044 -0.752 Br
-7.222 -4.873 -1.643 Br
-5.975 -0.633 -6.949 Br
-10.704 -4.487 -2.871 Br
-7.383 -1.355 -0.593 Br
-4.995 -0.264 -3.121 Br
-8.071 -2.093 -4.012 Br
-2.227 -1.582 -5.695 Br
-7.108 0.304 -4.641 Li
-3.652 -3.204 1.858 Li
-3.583 0.974 -1.131 Li
-5.110 -5.441 -0.123 Li
-2.457 0.635 -4.241 Li
-8.634 -6.111 -3.633 Li
-6.109 -2.568 -2.382 Ga
0.000 0.000 0.000 Ga

=====

PBE-GGA Pt13Rh2, optimized geometry; ΔE_f = 0.1089 eV per atom; M_tot = 0.00 μB per cell
1.0
0.185 -1.265 7.010
-2.597 -4.709 -4.456
5.941 -1.300 3.492
Rh Pt
2 13
Cartesian
1.805 -6.107 4.146 Rh
1.725 -1.167 1.900 Rh
0.000 0.000 0.000 Pt
4.982 -3.096 5.321 Pt
3.196 -5.405 1.830 Pt
2.434 -3.513 4.257 Pt
0.334 -1.869 4.215 Pt
3.937 -2.766 2.171 Pt
0.677 -5.445 -0.420 Pt
3.145 -4.619 6.722 Pt
-1.453 -4.178 0.724 Pt
0.384 -2.655 -0.676 Pt
2.852 -1.829 6.465 Pt
-0.408 -4.508 3.875 Pt
1.095 -3.761 1.788 Pt

=====

PBE-GGA Rb2Ba4Rh, optimized geometry; ΔE_f = -0.0032 eV per atom; M_tot = 0.03 μB per cell
1.0
-1.205 -5.953 1.813
1.686 -2.090 -5.742
10.838 2.894 5.627
Rb Ba Rh
2 4 1
Cartesian
7.246 -0.738 2.395 Rb
4.073 -4.412 -0.697 Rb
0.843 -1.045 -2.871 Ba
8.518 -4.864 0.772 Ba
2.801 -0.285 0.926 Ba
-0.603 -2.977 0.906 Ba
0.000 0.000 0.000 Rh

=====

PBE-GGA TbNdSe2, optimized geometry; energy relative to the lowest polymorph listed for this composition = 0.0 meV per atom; formation energy from raw total energies = -41.7 kcal/mol of atoms; M_tot = 0.00 μB per cell
1.0
-1.667 0.299 3.781
1.854 -1.836 3.218
3.699 5.176 3.508
Se Tb Nd
2 1 1
Cartesian
2.961 2.801 7.895 Se
0.925 0.837 2.611 Se
0.000 0.000 0.000 Tb
1.943 1.819 5.253 Nd

=====

PBE-GGA Tl3GeF6, optimized geometry; formation energy from raw total energies = -44.2 kcal/mol of atoms; M_tot = 2.02 μB per cell
1.0
6.558 0.000 0.000
0.000 8.575 -0.711
0.000 -2.607 8.200
Ge F Tl
2 12 6
Cartesian
6.145 -0.648 6.639 Ge
2.866 6.616 0.850 Ge
2.567 5.159 2.011 F
5.846 0.809 5.477 F
1.648 4.000 4.924 F
1.648 2.061 2.491 F
6.134 -2.132 7.822 F
4.927 3.907 4.998 F
2.855 8.100 -0.333 F
0.703 0.323 7.663 F
3.982 7.398 2.025 F
3.982 5.644 -0.175 F
4.927 1.968 2.565 F
0.703 -1.430 5.463 F
0.016 0.145 2.505 Tl
3.295 5.823 4.984 Tl
6.557 4.110 2.847 Tl
3.295 2.409 0.700 Tl
3.278 1.858 4.642 Tl
0.016 3.559 6.788 Tl

=====

PBE-GGA AcDyZnSb, optimized geometry; formation energy from raw total energies = -11.3 kcal/mol of atoms; M_tot = 0.00 μB per cell
1.0
-2.296 -3.999 2.912
2.258 -4.963 0.072
2.436 -1.822 4.526
Zn Dy Ac Sb
1 1 1 1
Cartesian
1.199 -5.392 3.755 Zn
0.600 -2.696 1.877 Dy
1.799 -8.088 5.632 Ac
0.000 0.000 0.000 Sb

=====

Question: Look up the M_tot of the fifth one.
Answer: 2.02 μB per cell